1.
This record from Alexandria via LeMat-Bulk describes crystalline MgWS3 at its relaxed geometry. The functional is PBE-GGA.

## Properties
Total DFT energy (no corrections) ... -4.495 eV/atom
Uncorrected formation energy ... 891 meV/atom
SG ... Pm-3m, No. 221
ΔE to the lowest computed polymorph ... 1.0434 eV per atom

Unit cell a=4.622 b=4.622 c=4.622 alpha=90.00 beta=90.00 gamma=90.00
Fractional coordinates of all 5 atoms:
W  0.500  0.500  0.500
S  0.000  0.500  0.000
S  0.000  0.000  0.500
S  0.500  0.000  0.000
Mg  0.000  0.000  0.000

2.
This record from Alexandria via LeMat-Bulk describes crystalline SrEu2Sn at its relaxed geometry. The functional is PBE-GGA.

## Properties
Energy of formation from the pure elements ... -0.328 eV/atom
Total DFT energy (no corrections) ... -6.887 eV/atom
SG ... P4/mmm, No. 123
ΔE to the lowest computed polymorph ... 0.0536 eV per atom

Unit cell a=3.972 b=3.972 c=10.031 alpha=90.00 beta=90.00 gamma=90.00
Fractional coordinates of all 4 atoms:
Sr  0.500  0.500  0.500
Eu  0.000  0.000  0.811
Eu  0.000  0.000  0.189
Sn  0.500  0.500  0.000

3.
This record from Alexandria via LeMat-Bulk describes crystalline LiCoSe2N at its relaxed geometry. The functional is PBE-GGA.

## Properties
Total DFT energy (no corrections) ... -3.735 eV/atom
Uncorrected formation energy ... 1128 meV/atom
SG ... P4/mmm, No. 123
ΔE to the lowest computed polymorph ... 1.0956 eV per atom

Unit cell a=4.671 b=4.671 c=3.418 alpha=90.00 beta=90.00 gamma=90.00
Fractional coordinates of all 5 atoms:
N  0.000  0.000  0.500
Co  0.500  0.500  0.500
Li  0.000  0.000  0.000
Se  0.000  0.500  0.000
Se  0.500  0.000  0.000

4.
This record from Alexandria via LeMat-Bulk describes crystalline Sr3TiBe at its relaxed geometry. The functional is PBE-GGA.

## Properties
Energy of formation from the pure elements ... 0.789 eV/atom
Total DFT energy (no corrections) ... -2.544 eV/atom
SG ... Pm-3m, No. 221
ΔE to the lowest computed polymorph ... 0.0000 eV per atom

Unit cell a=5.882 b=5.882 c=5.882 alpha=90.00 beta=90.00 gamma=90.00
Fractional coordinates of all 5 atoms:
Ti  0.500  0.500  0.500
Be  0.000  0.000  0.000
Sr  0.500  0.000  0.000
Sr  0.000  0.000  0.500
Sr  0.000  0.500  0.000

5.
This record from Alexandria via LeMat-Bulk describes crystalline Na2SrZn at its relaxed geometry. The functional is PBE-GGA.

## Properties
Energy of formation from the pure elements ... 0.036 eV/atom
Total DFT energy (no corrections) ... -1.362 eV/atom
SG ... F-43m, No. 216

Unit cell a=5.668 b=5.668 c=5.671 alpha=60.02 beta=60.02 gamma=60.00
Fractional coordinates of all 4 atoms:
Na  0.000  0.000  0.999
Na  0.250  0.250  0.250
Sr  0.500  0.500  0.500
Zn  0.750  0.750  0.750

6.
This record from Alexandria via LeMat-Bulk describes crystalline Mg3ZnIr2 at its relaxed geometry. The functional is PBE-GGA.

## Properties
Energy of formation from the pure elements ... -0.130 eV/atom
Total DFT energy (no corrections) ... -4.093 eV/atom
SG ... Ibam, No. 72

Unit cell a=8.810 b=5.252 c=7.325 alpha=111.01 beta=126.97 gamma=90.00
Fractional coordinates of all 12 atoms:
Zn  0.250  0.000  0.000
Zn  0.750  0.000  0.000
Mg  0.250  0.500  0.000
Mg  0.750  0.500  0.000
Mg  0.193  0.454  0.386
Mg  0.807  0.546  0.614
Mg  0.307  0.068  0.614
Mg  0.693  0.932  0.386
Ir  0.553  0.290  0.107
Ir  0.947  0.183  0.893
Ir  0.053  0.817  0.107
Ir  0.447  0.710  0.893